No. 1
First-principles (GGA-PBE) data for a relaxed structure of ZnTcHg3, as listed in Alexandria.

```
5
Lattice="-2.482 -2.480 4.111 4.399 -3.031 0.828 1.925 3.726 3.410" Properties=species:S:1:pos:R:3 pbc="T T T"
Hg 2.199 -1.515 0.414
Zn 1.921 -0.892 4.175
Tc 0.000 0.000 0.000
Hg 0.963 1.863 1.705
Hg -1.241 -1.240 2.056
```

Properties
The calculation puts the distance to the lowest polymorph of the same formula at 0.0 meV per atom. The calculation puts the magnetization at 2.5 μB per cell. Its formation enthalpy at 0 K is 381 kJ/mol of formula units. The calculation puts the density of states at the Fermi level at 0.82 states/eV/atom. As for the calculated total energy: -1.719 eV per atom.

=====

No. 2
First-principles (GGA-PBE) data for a relaxed structure of P2PbCl, as listed in Alexandria.

```
4
Lattice="6.653 -0.009 0.000 -4.656 4.753 0.000 0.000 0.000 3.007" Properties=species:S:1:pos:R:3 pbc="T T T"
Cl -2.328 2.376 1.504
P 0.999 2.372 0.000
P 0.000 0.000 0.000
Pb 3.327 -0.005 1.504
```

Properties
The calculation puts the distance to the lowest polymorph of the same formula at 703.7 meV per atom. The calculation puts the magnetization at 0.0 μB per cell. As for the formation energy without anion corrections: 1.89 eV/f.u. The calculation puts the density of states at the Fermi level at 0.57 states/eV/atom. As for the calculated total energy: -3.622 eV per atom.